1.
A plane-wave DFT calculation with PBE was carried out for a relaxed HfMgNiAs crystal.

Summary:
distance to the lowest polymorph of the same formula	0.063	eV per atom
electronic total energy	-5.33	eV/atom

abc: 4.600 4.600 4.600
angles: 60.00 60.00 60.00
Fractional coordinates of all 4 atoms:
Hf (0.000, 0.000, 0.000)
Mg (0.250, 0.250, 0.250)
Ni (0.750, 0.750, 0.750)
As (0.500, 0.500, 0.500)

2.
A plane-wave DFT calculation with PBE was carried out for a relaxed SmAlIr crystal.

Summary:
electronic total energy	-5.94	eV/atom

abc: 4.799 4.799 5.951
angles: 90.00 90.00 120.00
Fractional coordinates of all 6 atoms:
Sm (0.333, 0.667, 0.250)
Sm (0.667, 0.333, 0.750)
Al (0.333, 0.667, 0.750)
Al (0.667, 0.333, 0.250)
Ir (0.000, 0.000, 0.000)
Ir (0.000, 0.000, 0.500)

3.
A plane-wave DFT calculation with PBE was carried out for a relaxed FeBMoPt crystal.

Summary:
distance to the lowest polymorph of the same formula	0.000	eV per atom
electronic total energy	-7.53	eV/atom

abc: 4.167 4.167 4.167
angles: 60.00 60.00 60.00
Fractional coordinates of all 4 atoms:
Fe (0.000, 0.000, 0.000)
B (0.750, 0.750, 0.750)
Mo (0.500, 0.500, 0.500)
Pt (0.250, 0.250, 0.250)

4.
A plane-wave DFT calculation with PBE was carried out for a relaxed GdTl2 crystal.

Summary:
electronic total energy	-3.20	eV/atom

abc: 6.146 6.146 6.146
angles: 60.00 60.00 60.00
Fractional coordinates of all 6 atoms:
Gd (0.125, 0.125, 0.125)
Gd (0.875, 0.875, 0.875)
Tl (0.000, 0.500, 0.500)
Tl (0.500, 0.000, 0.500)
Tl (0.500, 0.500, 0.000)
Tl (0.500, 0.500, 0.500)